(1)
Material: RbNaP2S
Method: DFT, PBE-GGA
State: optimized geometry

The offset from the most stable computed form is 0.000 eV/atom.

The space group is P4/mmm (No. 123) and the conventional cell measures 5.113, 5.113 and 5.239 Å, with angles of 90.00, 90.00 and 90.00 degrees. The inequivalent atoms are Rb at (0.000, 0.000, 0.000), Na at (0.500, 0.500, 0.500), P at (0.000, 0.500, 0.500) and S at (0.500, 0.500, 0.000).



(2)
Material: Sm4GaBiC
Method: DFT, PBE-GGA
State: optimized geometry

The value obtained for the formation energy is -487 meV/atom.

The space group is Cmcm (No. 63) and the conventional cell measures 6.966, 16.038 and 6.972 Å, with angles of 90.00, 90.00 and 90.00 degrees. The inequivalent atoms are Sm at (0.000, 0.082, 0.250), Sm at (0.000, 0.407, 0.250), Sm at (0.250, 0.250, 0.000), Ga at (0.000, 0.118, 0.750), Bi at (0.000, 0.393, 0.750) and C at (0.000, 0.248, 0.250).



(3)
Material: PrTm4Zn5
Method: DFT, PBE-GGA
State: optimized geometry

The value obtained for the formation energy is -335 meV/atom.

The space group is P4/mmm (No. 123) and the conventional cell measures 3.548, 3.548 and 17.912 Å, with angles of 90.00, 90.00 and 90.00 degrees. The inequivalent atoms are Pr at (0.000, 0.000, 0.000), Tm at (0.000, 0.000, 0.207), Tm at (0.000, 0.000, 0.403), Zn at (0.500, 0.500, 0.114), Zn at (0.500, 0.500, 0.304) and Zn at (0.500, 0.500, 0.500).



(4)
Material: PuMoSe
Method: DFT, PBE-GGA
State: optimized geometry

As for the final energy: -116.36 eV for the cell shown.

The space group is Amm2 (No. 38) and the conventional cell measures 12.704, 3.448 and 5.568 Å, with angles of 90.00, 90.00 and 90.00 degrees. The inequivalent atoms are Pu at (0.170, 0.000, 0.000), Mo at (0.000, 0.000, 0.506), Mo at (0.500, 0.000, 0.996) and Se at (0.365, 0.000, 0.657).



(5)
Material: PuTh2Np3P6
Method: DFT, PBE-GGA
State: optimized geometry

The value obtained for the formation energy is -1120 meV/atom.

The space group is C2/m (No. 12) and the conventional cell measures 6.986, 12.123 and 6.970 Å, with angles of 90.00, 109.49 and 90.00 degrees. The inequivalent atoms are Pu at (0.000, 0.000, 0.000), Th at (0.000, 0.334, 0.000), Np at (0.000, 0.168, 0.500), Np at (0.000, 0.500, 0.500), P at (0.240, 0.000, 0.738) and P at (0.249, 0.336, 0.739).



(6)
Material: LiHf2C
Method: DFT, PBE-GGA
State: optimized geometry

The value obtained for the formation energy is 237 meV/atom.

The space group is I-42d (No. 122) and the conventional cell measures 6.896, 6.896 and 5.808 Å, with angles of 90.00, 90.00 and 90.00 degrees. The inequivalent atoms are Li at (0.000, 0.000, 0.000), Hf at (0.166, 0.250, 0.625) and C at (0.000, 0.000, 0.500).



(7)
Material: Li2CoPt
Method: DFT, PBE-GGA
State: optimized geometry

The offset from the most stable computed form is 0.265 eV/atom. The value obtained for the formation energy is 19 meV/atom.

The space group is I-42d (No. 122) and the conventional cell measures 3.557, 3.557 and 17.923 Å, with angles of 90.00, 90.00 and 90.00 degrees. The inequivalent atoms are Li at (0.250, 0.250, 0.125), Co at (0.000, 0.000, 0.000) and Pt at (0.000, 0.000, 0.500).



(8)
Material: TbSiRh
Method: DFT, PBE-GGA
State: optimized geometry

As for the final energy: -20.21 eV for the cell shown.

The space group is P-6m2 (No. 187) and the conventional cell measures 4.1894, 4.1894 and 3.8368 Å, with angles of 90.00, 90.00 and 120.00 degrees. The inequivalent atoms are Tb at (0.0000, 0.0000, 0.0000), Si at (0.6667, 0.3333, 0.5000) and Rh at (0.3333, 0.6667, 0.5000).



(9)
Material: Mg2TaSb
Method: DFT, PBE-GGA
State: optimized geometry

As for the final energy: -18.56 eV for the cell shown.

The space group is Pmm2 (No. 25) and the conventional cell measures 2.968, 5.108 and 5.504 Å, with angles of 90.00, 90.00 and 90.00 degrees. The inequivalent atoms are Mg at (0.000, 0.000, 0.000), Mg at (0.000, 0.500, 0.293), Ta at (0.500, 0.000, 0.501) and Sb at (0.500, 0.500, 0.770).



(10)
Material: Tm2PaH
Method: DFT, PBE-GGA
State: optimized geometry

The offset from the most stable computed form is 0.098 eV/atom.

The space group is P4/mmm (No. 123) and the conventional cell measures 3.206, 3.206 and 8.316 Å, with angles of 90.00, 90.00 and 90.00 degrees. The inequivalent atoms are Tm at (0.000, 0.000, 0.196), Pa at (0.500, 0.500, 0.500) and H at (0.500, 0.500, 0.000).



(11)
Material: NaLi2HgBi
Method: DFT, PBE-GGA
State: optimized geometry

The value obtained for the formation energy is -347 meV/atom.

The space group is Cmcm (No. 63) and the conventional cell measures 4.853, 12.014 and 8.729 Å, with angles of 90.00, 90.00 and 90.00 degrees. The inequivalent atoms are Na at (0.000, 0.034, 0.250), Li at (0.000, 0.279, 0.080), Hg at (0.000, 0.500, 0.000) and Bi at (0.000, 0.241, 0.750).



(12)
Material: Ca4Tb3DyTe8
Method: DFT, PBE-GGA
State: optimized geometry

As for the final energy: -225.13 eV for the cell shown.

The space group is R-3m (No. 166, hexagonal axes) and the conventional cell measures 8.7898, 8.7898 and 22.0324 Å, with angles of 90.00, 90.00 and 120.00 degrees. The inequivalent atoms are Ca at (0.0000, 0.0000, 0.0000), Ca at (0.0000, 0.5000, 0.0000), Tb at (0.0000, 0.5000, 0.5000), Dy at (0.0000, 0.0000, 0.5000), Te at (0.0000, 0.0000, 0.2488) and Te at (0.0008, 0.5004, 0.2486).



(13)
Material: Tb5TmTh2
Method: DFT, PBE-GGA
State: optimized geometry

The offset from the most stable computed form is 0.039 eV/atom. The value obtained for the formation energy is 139 meV/atom.

The space group is I4/mcm (No. 140) and the conventional cell measures 8.783, 8.783 and 13.362 Å, with angles of 90.00, 90.00 and 90.00 degrees. The inequivalent atoms are Tb at (0.000, 0.000, 0.000), Tb at (0.152, 0.348, 0.162), Tm at (0.000, 0.000, 0.250) and Th at (0.141, 0.359, 0.500).



(14)
Material: Ac4PtRh
Method: DFT, PBE-GGA
State: optimized geometry

The offset from the most stable computed form is 0.003 eV/atom. The value obtained for the formation energy is -664 meV/atom.

The space group is C2/c (No. 15) and the conventional cell measures 8.829, 16.852 and 7.477 Å, with angles of 90.00, 125.98 and 90.00 degrees. The inequivalent atoms are Ac at (0.238, 0.191, 0.242), Ac at (0.247, 0.053, 0.746), Pt at (0.000, 0.424, 0.750) and Rh at (0.000, 0.075, 0.250).



(15)
Material: LiHg2Ru
Method: DFT, PBE-GGA
State: optimized geometry

The offset from the most stable computed form is 0.244 eV/atom. The value obtained for the formation energy is 303 meV/atom.

The space group is P4mm (No. 99) and the conventional cell measures 3.053, 3.053 and 7.697 Å, with angles of 90.00, 90.00 and 90.00 degrees. The inequivalent atoms are Li at (0.000, 0.000, 0.000), Hg at (0.000, 0.000, 0.456), Hg at (0.500, 0.500, 0.780) and Ru at (0.500, 0.500, 0.208).